[1]
This record from the Alexandria database describes crystalline PrNd2Y3Se6 at its relaxed geometry. The functional is PBE.

Cell and atoms, written as POSCAR:
```
PrNd2Y3Se6
1.0
4.1260 0.0000 0.0000
0.0000 8.4162 0.2130
-2.0630 -2.5175 8.7616
Se Nd Pr Y
6 2 1 3
Cartesian
2.0630 -0.3179 8.7681
2.0630 4.1461 2.9974
0.0000 1.7526 5.9772
2.0630 -0.2198 3.0048
0.0000 6.1185 5.9698
0.0000 6.2166 0.2065
2.0630 3.9374 5.9878
0.0000 1.9613 2.9869
2.0630 0.0000 0.0000
0.0000 6.1743 3.0875
2.0630 4.2081 0.1065
2.0630 -0.2756 5.8871
```

Output
Crystal system: monoclinic
Formation energy from raw total energies, eV per atom: -1.8078
V, A^3/atom: 25.539
VASP energy, eV/atom: -6.359

---

[2]
This record from the Alexandria database describes crystalline Pr3Nd4YSe8 at its relaxed geometry. The functional is PBE.

Cell and atoms, written as POSCAR:
```
Pr3Nd4YSe8
1.0
-3.6968 2.7293 -7.1085
-7.2898 0.9684 4.1629
7.0249 3.7692 2.8333
Y Nd Pr Se
1 4 3 8
Cartesian
-3.6449 0.4842 2.0814
3.5125 1.8846 1.4167
0.0000 0.0000 0.0000
-1.8484 1.3647 -3.5542
1.6641 3.2492 -2.1376
-0.1324 2.3688 3.4981
-5.4933 1.8488 -1.4728
-1.9808 3.7334 -0.0561
-6.3375 1.3998 1.3739
-1.0526 4.2267 -2.8692
2.3759 6.0670 -1.4862
-2.9090 3.2401 2.7569
0.7780 2.7952 0.6687
-8.2302 2.7972 -2.2655
4.2685 4.6696 2.1532
-4.7396 4.6716 -0.7809
```

Output
Crystal system: trigonal
Formation energy from raw total energies, eV per atom: -1.8234
V, A^3/atom: 26.733
VASP energy, eV/atom: -6.058

---

[3]
This record from the Alexandria database describes crystalline Pr3NdY2Se6 at its relaxed geometry. The functional is PBE.

Cell and atoms, written as POSCAR:
```
Pr3NdY2Se6
1.0
7.2533 -0.0158 -0.0025
-3.6385 6.2747 -0.0025
-1.2082 -2.0920 6.9181
Se Nd Pr Y
6 1 3 2
Cartesian
2.3781 4.1177 1.6234
2.4794 -0.0086 1.6563
3.6530 2.0236 5.2568
-0.0729 4.1754 5.2568
-1.2465 2.1433 1.6563
0.0284 0.0492 5.2897
0.0000 0.0000 0.0000
1.2033 2.0834 3.4566
4.8918 -0.0468 3.4566
-2.4853 4.2137 3.4566
3.6176 2.0840 -0.0025
-0.0028 4.1749 -0.0025
```

Output
Crystal system: monoclinic
Formation energy from raw total energies, eV per atom: -1.8214
V, A^3/atom: 26.199
VASP energy, eV/atom: -6.233

---

[4]
This record from the Alexandria database describes crystalline Pr3Nd2YSe6 at its relaxed geometry. The functional is PBE.

Cell and atoms, written as POSCAR:
```
Pr3Nd2YSe6
1.0
7.3140 -0.0161 -0.0023
-3.6691 6.3271 -0.0023
-1.2180 -2.1090 6.9212
Se Nd Pr Y
6 2 3 1
Cartesian
2.3745 -0.0071 1.6676
0.0523 4.2091 5.2490
-1.1928 2.0532 1.6676
3.6197 2.1488 5.2490
2.4598 4.2592 1.6952
-0.0330 -0.0572 5.2214
-0.0125 4.2152 -0.0023
3.6573 2.0958 -0.0023
-2.3915 4.1830 3.4583
1.2134 2.1010 3.4583
4.8184 0.0190 3.4583
0.0000 0.0000 0.0000
```

Output
Crystal system: monoclinic
Formation energy from raw total energies, eV per atom: -1.8320
V, A^3/atom: 26.651
VASP energy, eV/atom: -6.102

---

[5]
This record from the Alexandria database describes crystalline Pr3Nd3YSe8 at its relaxed geometry. The functional is PBE.

Cell and atoms, written as POSCAR:
```
Pr3Nd3YSe8
1.0
-1.8861 -0.8849 -8.1866
-5.6405 -2.1932 5.8949
1.7976 8.1663 -1.2968
Se Pr Nd Y
8 3 3 1
Cartesian
-2.8507 0.7416 0.5766
-5.7129 3.2181 -1.2445
-2.8782 4.3466 -4.1651
-4.7554 3.6673 2.9120
-1.8966 4.7758 -0.0793
-0.0159 1.8701 -2.3440
-3.8323 0.3123 -3.5092
-0.9735 1.4208 -6.5005
0.0000 0.0000 0.0000
-3.7633 -1.5391 -1.1458
-2.8202 -1.0966 2.9475
-1.9214 2.9865 2.2990
-2.8644 2.5441 -1.7943
-0.0442 3.6407 -4.7417
0.8988 4.0831 -0.6484
```

Output
Crystal system: trigonal
Formation energy from raw total energies, eV per atom: -1.8787
V, A^3/atom: 28.489
VASP energy, eV/atom: -6.077

---

[6]
This record from the Alexandria database describes crystalline Pr2Nd3YSe6 at its relaxed geometry. The functional is PBE.

Cell and atoms, written as POSCAR:
```
Pr2Nd3YSe6
1.0
-0.2993 -0.8225 -4.1090
8.4015 0.9134 -0.7948
-0.8107 -8.5265 3.9136
Se Nd Pr Y
6 3 2 1
Cartesian
2.8430 -5.6051 0.9149
6.3832 0.6625 -0.5976
0.2030 -3.2291 -1.5161
7.0885 -5.2066 0.5259
4.4485 -2.8305 -1.9052
0.9082 -9.0981 -0.3926
0.6142 -6.1537 -0.9606
6.6773 -2.2820 -0.0296
4.0511 0.0454 -2.4519
4.7928 -5.7399 -1.3479
2.4987 -2.6958 0.3576
-0.1497 -0.4113 -2.0545
```

Output
Crystal system: monoclinic
Formation energy from raw total energies, eV per atom: -1.8269
V, A^3/atom: 26.565
VASP energy, eV/atom: -6.096